ZnAs2CSe | PBE | relaxed

Calculated values
Size of the total moment = 0.7 μB per cell
Total energy = -2.720 eV/atom
N(E_F) = 5.27 states/eV per cell
Symmetry = P4/mmm (123)
Energy above the most stable polymorph in this dataset = 0.872 eV per atom
Volume = 112 Å³/cell
Formation energy from raw total energies = 1936 meV/atom

Cell and atoms, written as POSCAR:
```
ZnAs2CSe
1.0
4.773 0.000 0.000
0.000 4.773 0.000
0.000 0.000 4.925
Zn As C Se
1 2 1 1
direct
0.000 0.000 0.000
0.000 0.500 0.000
0.500 0.000 0.000
0.500 0.500 0.500
0.000 0.000 0.500
```

=====

ZnAsCSe2 | PBE | relaxed

Calculated values
Size of the total moment = 0.0 μB per cell
Total energy = -3.354 eV/atom
N(E_F) = 3.59 states/eV per cell
Symmetry = P4/mmm (123)
Energy above the most stable polymorph in this dataset = 0.000 eV per atom
Volume = 87 Å³/cell
Formation energy from raw total energies = 1069 meV/atom

Cell and atoms, written as POSCAR:
```
ZnAsCSe2
1.0
4.521 0.000 0.000
0.000 4.521 0.000
0.000 0.000 4.262
Zn As C Se
1 1 1 2
direct
0.000 0.000 0.000
0.500 0.500 0.000
0.500 0.500 0.500
0.000 0.500 0.500
0.500 0.000 0.500
```

=====

ZnAs2CSe | PBE | relaxed

Calculated values
Size of the total moment = 0.0 μB per cell
Total energy = -3.593 eV/atom
N(E_F) = 3.20 states/eV per cell
Symmetry = P4/mmm (123)
Energy above the most stable polymorph in this dataset = 0.000 eV per atom
Volume = 86 Å³/cell
Formation energy from raw total energies = 1064 meV/atom

Cell and atoms, written as POSCAR:
```
ZnAs2CSe
1.0
4.355 0.000 0.000
0.000 4.355 0.000
0.000 0.000 4.512
Zn As C Se
1 2 1 1
direct
0.000 0.000 0.000
0.000 0.500 0.500
0.500 0.000 0.500
0.500 0.500 0.500
0.500 0.500 0.000
```